Record 1
A plane-wave DFT calculation with PBEsol was carried out for an optimized crystal structure of BaLiB3S6.

It has space group Cc (No. 9), with a = 15.0484 Å, b = 8.7979 Å, c = 8.2126 Å, α = 90.00°, β = 117.75° and γ = 90.00°. The distinct sites, in fractional coordinates, are Ba at (0.0000, 0.1214, 0.0000), Li at (0.3425, 0.1022, 0.0448), B at (0.0383, 0.4578, 0.4250), B at (0.1701, 0.1829, 0.4507), B at (0.2596, 0.4988, 0.5253), S at (0.0467, 0.2515, 0.4098), S at (0.1398, 0.4106, 0.9669), S at (0.1691, 0.0117, 0.8916), S at (0.2840, 0.2956, 0.5365), S at (0.3646, 0.3821, 0.0692) and S at (0.4222, 0.0388, 0.3876).

For the energy, the calculation gives -246.06 eV for the cell shown.

***

Record 2
A plane-wave DFT calculation with PBEsol was carried out for an optimized crystal structure of AsRhSe3.

It has space group Pm-3m (No. 221), with a = 4.8665 Å, b = 4.8665 Å, c = 4.8665 Å, α = 90.00°, β = 90.00° and γ = 90.00°. The distinct sites, in fractional coordinates, are As at (0.0000, 0.0000, 0.0000), Rh at (0.5000, 0.5000, 0.5000) and Se at (0.0000, 0.0000, 0.5000).

For the energy, the calculation gives -19.64 eV for the cell shown.

***

Record 3
A plane-wave DFT calculation with PBEsol was carried out for an optimized crystal structure of CrHgRu2.

It has space group P4/mmm (No. 123), with a = 2.8498 Å, b = 2.8498 Å, c = 7.1012 Å, α = 90.00°, β = 90.00° and γ = 90.00°. The distinct sites, in fractional coordinates, are Cr at (0.0000, 0.0000, 0.0000), Hg at (0.0000, 0.0000, 0.5000) and Ru at (0.5000, 0.5000, 0.2053).

For the energy, the calculation gives -30.00 eV for the cell shown. The calculation puts the energy of formation from the pure elements at 288 meV per atom.

***

Record 4
A plane-wave DFT calculation with PBEsol was carried out for an optimized crystal structure of Y3AsP.

It has space group Pm-3m (No. 221), with a = 5.1264 Å, b = 5.1264 Å, c = 5.1264 Å, α = 90.00°, β = 90.00° and γ = 90.00°. The distinct sites, in fractional coordinates, are Y at (0.0000, 0.0000, 0.5000), As at (0.5000, 0.5000, 0.5000) and P at (0.0000, 0.0000, 0.0000).

For the energy, the calculation gives -34.64 eV for the cell shown. The calculation puts the energy of formation from the pure elements at -655 meV per atom.

***

Record 5
A plane-wave DFT calculation with PBEsol was carried out for an optimized crystal structure of LiTe2Au.

It has space group Immm (No. 71), with a = 4.0045 Å, b = 4.5453 Å, c = 11.4926 Å, α = 90.00°, β = 90.00° and γ = 90.00°. The distinct sites, in fractional coordinates, are Li at (0.0000, 0.0000, 0.0000), Te at (0.0000, 0.5000, 0.1559) and Au at (0.0000, 0.0000, 0.5000).

For the energy, the calculation gives -28.69 eV for the cell shown.

***

Record 6
A plane-wave DFT calculation with PBEsol was carried out for an optimized crystal structure of HgPt2Br.

It has space group Imm2 (No. 44), with a = 2.9450 Å, b = 4.3787 Å, c = 11.8194 Å, α = 90.00°, β = 90.00° and γ = 90.00°. The distinct sites, in fractional coordinates, are Hg at (0.0000, 0.0000, 0.0000), Pt at (0.0000, 0.0000, 0.5836), Pt at (0.0000, 0.5000, 0.2841) and Br at (0.0000, 0.5000, 0.7801).

For the energy, the calculation gives -29.76 eV for the cell shown.

***

Record 7
A plane-wave DFT calculation with PBEsol was carried out for an optimized crystal structure of Sr2TlZn.

It has space group Imm2 (No. 44), with a = 3.8496 Å, b = 5.4787 Å, c = 11.3852 Å, α = 90.00°, β = 90.00° and γ = 90.00°. The distinct sites, in fractional coordinates, are Sr at (0.0000, 0.0000, 0.0000), Sr at (0.0000, 0.5000, 0.1992), Tl at (0.0000, 0.5000, 0.7757) and Zn at (0.0000, 0.0000, 0.4588).

For the energy, the calculation gives -17.70 eV for the cell shown. The calculation puts the energy of formation from the pure elements at -239 meV per atom.

***

Record 8
A plane-wave DFT calculation with PBEsol was carried out for an optimized crystal structure of TaSi2MoPb.

It has space group P4/mmm (No. 123), with a = 4.8126 Å, b = 4.8126 Å, c = 5.3458 Å, α = 90.00°, β = 90.00° and γ = 90.00°. The distinct sites, in fractional coordinates, are Ta at (0.0000, 0.0000, 0.0000), Si at (0.0000, 0.5000, 0.0000), Mo at (0.5000, 0.5000, 0.5000) and Pb at (0.0000, 0.0000, 0.5000).

For the energy, the calculation gives -32.48 eV for the cell shown.

***

Record 9
A plane-wave DFT calculation with PBEsol was carried out for an optimized crystal structure of TaSb2Mo.

It has space group Pmmm (No. 47), with a = 3.5002 Å, b = 4.3438 Å, c = 5.0571 Å, α = 90.00°, β = 90.00° and γ = 90.00°. The distinct sites, in fractional coordinates, are Ta at (0.0000, 0.0000, 0.0000), Sb at (0.0000, 0.5000, 0.5000), Sb at (0.5000, 0.5000, 0.0000) and Mo at (0.5000, 0.0000, 0.5000).

For the energy, the calculation gives -31.48 eV for the cell shown.

***

Record 10
A plane-wave DFT calculation with PBEsol was carried out for an optimized crystal structure of CrAgBr2.

It has space group P4mm (No. 99), with a = 3.6847 Å, b = 3.6847 Å, c = 6.6903 Å, α = 90.00°, β = 90.00° and γ = 90.00°. The distinct sites, in fractional coordinates, are Cr at (0.0000, 0.0000, 0.0000), Ag at (0.5000, 0.5000, 0.2172), Br at (0.0000, 0.0000, 0.3857) and Br at (0.5000, 0.5000, 0.8133).

For the energy, the calculation gives -17.20 eV for the cell shown.

***

Record 11
A plane-wave DFT calculation with PBEsol was carried out for an optimized crystal structure of NbPWS2.

It has space group P4/mmm (No. 123), with a = 4.5451 Å, b = 4.5451 Å, c = 4.7334 Å, α = 90.00°, β = 90.00° and γ = 90.00°. The distinct sites, in fractional coordinates, are Nb at (0.0000, 0.0000, 0.0000), P at (0.5000, 0.5000, 0.0000), W at (0.5000, 0.5000, 0.5000) and S at (0.0000, 0.5000, 0.5000).

For the energy, the calculation gives -36.06 eV for the cell shown.

***

Record 12
A plane-wave DFT calculation with PBEsol was carried out for an optimized crystal structure of Y2SiTe.

It has space group R-3m (No. 166, hexagonal axes), with a = 4.1625 Å, b = 4.1625 Å, c = 20.9937 Å, α = 90.00°, β = 90.00° and γ = 120.00°. The distinct sites, in fractional coordinates, are Y at (0.0000, 0.0000, 0.2404), Si at (0.0000, 0.0000, 0.5000) and Te at (0.0000, 0.0000, 0.0000).

For the energy, the calculation gives -82.59 eV for the cell shown.

***

Record 13
A plane-wave DFT calculation with PBEsol was carried out for an optimized crystal structure of InIrN2F.

It has space group P4/mmm (No. 123), with a = 4.1530 Å, b = 4.1530 Å, c = 3.9358 Å, α = 90.00°, β = 90.00° and γ = 90.00°. The distinct sites, in fractional coordinates, are In at (0.0000, 0.0000, 0.0000), Ir at (0.5000, 0.5000, 0.5000), N at (0.0000, 0.5000, 0.0000) and F at (0.0000, 0.0000, 0.5000).

For the energy, the calculation gives -24.28 eV for the cell shown.

***

Record 14
A plane-wave DFT calculation with PBEsol was carried out for an optimized crystal structure of NbCu3Cl.

It has space group Pm-3m (No. 221), with a = 4.3011 Å, b = 4.3011 Å, c = 4.3011 Å, α = 90.00°, β = 90.00° and γ = 90.00°. The distinct sites, in fractional coordinates, are Nb at (0.0000, 0.0000, 0.0000), Cu at (0.0000, 0.5000, 0.5000) and Cl at (0.5000, 0.5000, 0.5000).

For the energy, the calculation gives -20.04 eV for the cell shown.

***

Record 15
A plane-wave DFT calculation with PBEsol was carried out for an optimized crystal structure of MnSeO2F.

It has space group P4/mmm (No. 123), with a = 3.8936 Å, b = 3.8936 Å, c = 4.3656 Å, α = 90.00°, β = 90.00° and γ = 90.00°. The distinct sites, in fractional coordinates, are Mn at (0.0000, 0.0000, 0.0000), Se at (0.5000, 0.5000, 0.5000), O at (0.0000, 0.5000, 0.5000) and F at (0.5000, 0.5000, 0.0000).

For the energy, the calculation gives -27.59 eV for the cell shown.

***

Record 16
A plane-wave DFT calculation with PBEsol was carried out for an optimized crystal structure of KMg2In.

It has space group Immm (No. 71), with a = 3.6513 Å, b = 5.7554 Å, c = 11.1668 Å, α = 90.00°, β = 90.00° and γ = 90.00°. The distinct sites, in fractional coordinates, are K at (0.0000, 0.0000, 0.0000), Mg at (0.0000, 0.5000, 0.2159) and In at (0.0000, 0.0000, 0.5000).

For the energy, the calculation gives -14.19 eV for the cell shown. The calculation puts the energy of formation from the pure elements at 114 meV per atom.

***

Record 17
A plane-wave DFT calculation with PBEsol was carried out for an optimized crystal structure of TlZnRe2.

It has space group Pmmm (No. 47), with a = 2.9373 Å, b = 4.6715 Å, c = 4.6874 Å, α = 90.00°, β = 90.00° and γ = 90.00°. The distinct sites, in fractional coordinates, are Tl at (0.0000, 0.0000, 0.0000), Zn at (0.5000, 0.0000, 0.5000), Re at (0.0000, 0.5000, 0.5000) and Re at (0.5000, 0.5000, 0.0000).

For the energy, the calculation gives -27.73 eV for the cell shown. The calculation puts the energy of formation from the pure elements at 786 meV per atom.

***

Record 18
A plane-wave DFT calculation with PBEsol was carried out for an optimized crystal structure of InAg2HgOs.

It has space group P4/mmm (No. 123), with a = 4.9419 Å, b = 4.9419 Å, c = 5.0749 Å, α = 90.00°, β = 90.00° and γ = 90.00°. The distinct sites, in fractional coordinates, are In at (0.0000, 0.0000, 0.0000), Ag at (0.0000, 0.5000, 0.0000), Hg at (0.0000, 0.0000, 0.5000) and Os at (0.5000, 0.5000, 0.5000).

For the energy, the calculation gives -13.10 eV for the cell shown. The calculation puts the energy of formation from the pure elements at 1857 meV per atom.

***

Record 19
A plane-wave DFT calculation with PBEsol was carried out for an optimized crystal structure of NaCrSi2O6.

It has space group C2/c (No. 15), with a = 9.6002 Å, b = 8.7020 Å, c = 5.2833 Å, α = 90.00°, β = 107.69° and γ = 90.00°. The distinct sites, in fractional coordinates, are Na at (0.0000, 0.2011, 0.2500), Cr at (0.0000, 0.4087, 0.7500), Si at (0.2079, 0.0924, 0.7691), O at (0.1123, 0.4203, 0.1356), O at (0.1397, 0.2613, 0.6985) and O at (0.1460, 0.0088, 0.9924).

For the energy, the calculation gives -317.51 eV for the cell shown.

***

Record 20
A plane-wave DFT calculation with PBEsol was carried out for an optimized crystal structure of BaBe2FeP.

It has space group P4/mmm (No. 123), with a = 4.3906 Å, b = 4.3906 Å, c = 4.2136 Å, α = 90.00°, β = 90.00° and γ = 90.00°. The distinct sites, in fractional coordinates, are Ba at (0.0000, 0.0000, 0.0000), Be at (0.0000, 0.5000, 0.5000), Fe at (0.5000, 0.5000, 0.5000) and P at (0.5000, 0.5000, 0.0000).

For the energy, the calculation gives -25.29 eV for the cell shown. The calculation puts the energy of formation from the pure elements at -77 meV per atom.